Computed, not measured: a relaxed Pm3BeGe3 crystal at the GGA-PBE level of DFT.

Cell: 8.5483 8.5483 5.9991 Å, 90.00 90.00 120.00°
Positions (direct):
1 Pm 0.0667 0.7009 0.2500
2 Pm 0.2991 0.3657 0.2500
3 Pm 0.3657 0.0667 0.7500
4 Pm 0.6343 0.9333 0.2500
5 Pm 0.7009 0.6343 0.7500
6 Pm 0.9333 0.2991 0.7500
7 Be 0.3333 0.6667 0.7500
8 Be 0.6667 0.3333 0.2500
9 Ge 0.0747 0.6922 0.7500
10 Ge 0.3078 0.3825 0.7500
11 Ge 0.3825 0.0747 0.2500
12 Ge 0.6175 0.9253 0.7500
13 Ge 0.6922 0.6175 0.2500
14 Ge 0.9253 0.3078 0.2500

Calculated values
- Space-group type: P6_3/m
- E_form: -0.46 eV per atom
- Energy above the lowest structure with this stoichiometry: 269 meV per atom

Computed, not measured: a relaxed NaSmAgHg crystal at the GGA-PBE level of DFT.

Cell: 5.1833 5.1833 5.1833 Å, 60.00 60.00 60.00°
Positions (direct):
1 Na 0.0000 0.0000 0.0000
2 Sm 0.5000 0.5000 0.5000
3 Ag 0.7500 0.7500 0.7500
4 Hg 0.2500 0.2500 0.2500

Calculated values
- Space-group type: F-43m
- E_form: -0.23 eV per atom

Computed, not measured: a relaxed Nb3AsW crystal at the GGA-PBE level of DFT.

Cell: 4.8780 4.8780 4.8780 Å, 90.00 90.00 90.00°
Positions (direct):
1 Nb 0.0000 0.0000 0.5000
2 Nb 0.0000 0.5000 0.0000
3 Nb 0.5000 0.0000 0.0000
4 As 0.5000 0.5000 0.5000
5 W 0.0000 0.0000 0.0000

Calculated values
- Space-group type: Pm-3m
- E_form: 1.31 eV per atom
- Energy above the lowest structure with this stoichiometry: 297 meV per atom

Computed, not measured: a relaxed MgReNi2 crystal at the GGA-PBE level of DFT.

Cell: 2.6646 3.6225 5.6501 Å, 90.00 90.00 90.00°
Positions (direct):
1 Mg 0.0000 0.0000 0.0000
2 Re 0.0000 0.0000 0.5000
3 Ni 0.5000 0.5000 0.2790
4 Ni 0.5000 0.5000 0.7210

Calculated values
- Space-group type: Pmmm
- E_form: 0.04 eV per atom

Computed, not measured: a relaxed La4Sm3Dy crystal at the GGA-PBE level of DFT.

Cell: 12.8962 12.8962 6.3084 Å, 93.32 93.32 15.65°
Positions (direct):
1 La 0.1053 0.1053 0.2355
2 La 0.2800 0.2800 0.7552
3 La 0.7200 0.7200 0.2448
4 La 0.8947 0.8947 0.7645
5 Sm 0.0000 0.0000 0.5000
6 Sm 0.1424 0.1424 0.7444
7 Sm 0.8576 0.8576 0.2556
8 Dy 0.5000 0.5000 0.0000

Calculated values
- Space-group type: C2/m
- E_form: 0.21 eV per atom
- Energy above the lowest structure with this stoichiometry: 0 meV per atom

Computed, not measured: a relaxed TaHRuW2 crystal at the GGA-PBE level of DFT.

Cell: 4.0004 4.0004 4.1682 Å, 90.00 90.00 90.00°
Positions (direct):
1 Ta 0.0000 0.0000 0.0000
2 H 0.5000 0.5000 0.5000
3 Ru 0.5000 0.5000 0.0000
4 W 0.0000 0.5000 0.5000
5 W 0.5000 0.0000 0.5000

Calculated values
- Space-group type: P4/mmm
- Energy above the lowest structure with this stoichiometry: 0 meV per atom

Computed, not measured: a relaxed Tb2Nd2Ho5 crystal at the GGA-PBE level of DFT.

Cell: 10.0912 10.0912 10.0912 Å, 84.69 108.31 141.11°
Positions (direct):
1 Tb 0.0039 0.1267 0.1306
2 Tb 0.0039 0.3733 0.3772
3 Tb 0.9961 0.6267 0.6228
4 Tb 0.9961 0.8733 0.8694
5 Nd 0.4412 0.7011 0.2402
6 Nd 0.4609 0.2011 0.7598
7 Nd 0.5456 0.0456 0.5000
8 Nd 0.5456 0.5456 0.0000
9 Ho 0.1072 0.2985 0.7031
10 Ho 0.1072 0.9041 0.3087
11 Ho 0.4016 0.4051 0.4966
12 Ho 0.4257 0.0188 0.1223
13 Ho 0.4257 0.8035 0.9069
14 Ho 0.5954 0.4041 0.2969
15 Ho 0.5954 0.7985 0.6913
16 Ho 0.8966 0.3035 0.8777
17 Ho 0.8966 0.5188 0.0931
18 Ho 0.9085 0.9051 0.5034

Calculated values
- Space-group type: Ima2
- E_form: 0.21 eV per atom
- Energy above the lowest structure with this stoichiometry: 0 meV per atom

Computed, not measured: a relaxed BaLi2Co crystal at the GGA-PBE level of DFT.

Cell: 3.6044 4.9915 5.4228 Å, 90.00 99.68 90.00°
Positions (direct):
1 Ba 0.0000 0.0000 0.0000
2 Li 0.3094 0.5000 0.6727
3 Li 0.6906 0.5000 0.3273
4 Co 0.5000 0.0000 0.5000

Calculated values
- Space-group type: P2/m
- E_form: 0.46 eV per atom
- Energy above the lowest structure with this stoichiometry: 101 meV per atom

Uncorrected energy / Ry per atom: -0.368 -0.186 -0.607 -0.468 -0.338 -0.731 -0.325 -0.203